Entry 1:
Compound: Zr2MnB2
Source: Alexandria via LeMat-Bulk
Functional: PBE
Structure: relaxed

Values from the calculation:
Space group = P4/mbm, No. 127
Formation energy = -558.5 meV/atom

a b c (Å): 6.149 6.149 3.410
angles (deg): 90.00 90.00 90.00
Positions (direct):
B1 0.396 0.896 0.000
B2 0.104 0.396 0.000
B3 0.604 0.104 0.000
B4 0.896 0.604 0.000
Zr1 0.315 0.185 0.500
Zr2 0.185 0.685 0.500
Zr3 0.685 0.815 0.500
Zr4 0.815 0.315 0.500
Mn1 0.500 0.500 0.000
Mn2 0.000 0.000 0.000

=====

Entry 2:
Compound: ZrMnB
Source: Alexandria via LeMat-Bulk
Functional: PBE
Structure: relaxed

Values from the calculation:
Space group = P4/nmm, No. 129
Formation energy = -460.8 meV/atom

a b c (Å): 3.406 3.406 6.604
angles (deg): 90.00 90.00 90.00
Positions (direct):
Zr1 0.000 0.500 0.846
Zr2 0.500 0.000 0.154
Mn1 0.500 0.500 0.500
Mn2 0.000 0.000 0.500
B1 0.000 0.500 0.290
B2 0.500 0.000 0.710

=====

Entry 3:
Compound: BMo
Source: Alexandria via LeMat-Bulk
Functional: PBE
Structure: relaxed

Values from the calculation:
Space group = P6_3/mmc, No. 194
Formation energy = 25.4 meV/atom
Distance to the lowest polymorph of the same formula = 103 kJ/mol of formula units

a b c (Å): 3.736 3.736 4.370
angles (deg): 90.00 90.00 120.00
Positions (direct):
Mo1 0.667 0.333 0.250
Mo2 0.333 0.667 0.750
B1 0.667 0.333 0.750
B2 0.333 0.667 0.250

=====

Entry 4:
Compound: BMo
Source: Alexandria via LeMat-Bulk
Functional: PBE
Structure: relaxed

Values from the calculation:
Space group = Fm-3m, No. 225
Formation energy = -242.9 meV/atom
Distance to the lowest polymorph of the same formula = 51 kJ/mol of formula units

a b c (Å): 4.468 4.468 4.468
angles (deg): 90.00 90.00 90.00
Positions (direct):
B1 0.000 0.500 0.000
B2 0.500 0.000 0.000
B3 0.000 0.000 0.500
B4 0.500 0.500 0.500
Mo1 0.000 0.000 0.000
Mo2 0.000 0.500 0.500
Mo3 0.500 0.500 0.000
Mo4 0.500 0.000 0.500

=====

Entry 5:
Compound: B5Mo
Source: Alexandria via LeMat-Bulk
Functional: PBE
Structure: relaxed

Values from the calculation:
Space group = Cmmm, No. 65
Formation energy = 799.0 meV/atom

a b c (Å): 2.840 3.540 5.072
angles (deg): 110.42 90.00 90.00
Positions (direct):
Mo1 0.000 0.000 0.000
B1 0.500 0.204 0.408
B2 0.000 0.683 0.365
B3 0.500 0.796 0.592
B4 0.000 0.317 0.635
B5 0.500 0.500 0.000

=====

Entry 6:
Compound: BMo
Source: Alexandria via LeMat-Bulk
Functional: PBE
Structure: relaxed

Values from the calculation:
Space group = I-43m, No. 217
Formation energy = 990.6 meV/atom
Distance to the lowest polymorph of the same formula = 289 kJ/mol of formula units

a b c (Å): 6.651 6.651 6.651
angles (deg): 90.00 90.00 90.00
Positions (direct):
B1 0.157 0.843 0.843
B2 0.657 0.657 0.657
B3 0.343 0.343 0.657
B4 0.843 0.843 0.157
B5 0.343 0.657 0.343
B6 0.843 0.157 0.843
B7 0.157 0.157 0.157
B8 0.657 0.343 0.343
Mo1 0.342 0.658 0.658
Mo2 0.342 0.342 0.342
Mo3 0.842 0.158 0.158
Mo4 0.158 0.842 0.158
Mo5 0.158 0.158 0.842
Mo6 0.658 0.342 0.658
Mo7 0.842 0.842 0.842
Mo8 0.658 0.658 0.342

=====

Entry 7:
Compound: B2Mo3
Source: Alexandria via LeMat-Bulk
Functional: PBE
Structure: relaxed

Values from the calculation:
Space group = Immm, No. 71
Formation energy = -316.1 meV/atom
Distance to the lowest polymorph of the same formula = 31 kJ/mol of formula units

a b c (Å): 3.124 4.801 4.801
angles (deg): 62.09 71.01 71.01
Positions (direct):
Mo1 0.801 0.699 0.699
Mo2 0.000 0.000 0.000
Mo3 0.199 0.301 0.301
B1 0.500 0.324 0.676
B2 0.500 0.676 0.324

=====

Entry 8:
Compound: B2Mo
Source: Alexandria via LeMat-Bulk
Functional: PBE
Structure: relaxed

Values from the calculation:
Space group = I4/mmm, No. 139
Formation energy = 436.7 meV/atom

a b c (Å): 2.734 2.734 4.240
angles (deg): 108.81 108.81 90.00
Positions (direct):
B1 0.299 0.299 0.598
B2 0.701 0.701 0.402
Mo1 0.000 0.000 0.000

=====

Question: Which value of formation energy does entry 6 give?
Answer: 990.6 meV/atom

=====

Question: Look up the formation energy of the third one.
Answer: 25.4 meV/atom

=====

Question: formation energy of number 2 (ZrMnB)?
Answer: -460.8 meV/atom

=====

Question: Look up the formation energy of the third one.
Answer: 25.4 meV/atom